Computed, not measured: a relaxed PuThPd crystal at the PBE level of DFT.

Cell and atoms, written as POSCAR:
```
PuThPd
1.0
3.4990 0.0000 0.0000
0.0000 4.8901 0.0000
0.0000 -2.4451 4.2350
Th Pd Pu
1 1 1
direct
0.6601 0.3333 0.6667 Th
0.3153 0.6667 0.3333 Pd
0.0246 0.0000 0.0000 Pu
```

Calculated values
calculated volume	24.15	A^3/atom
symmetry	No. 156
spin magnetization	5.927	μB/f.u.
formation energy from the elements	-0.225	eV/atom

=====

Computed, not measured: a relaxed PuThPd3 crystal at the PBE level of DFT.

Cell and atoms, written as POSCAR:
```
PuThPd3
1.0
8.5282 0.0000 0.0000
0.0000 6.9934 0.0000
0.0000 0.0000 7.5611
Pu Pd Th
4 12 4
direct
0.0000 0.5000 0.5000 Pu
0.5000 0.0000 0.5000 Pu
0.5000 0.0000 0.0000 Pu
0.0000 0.5000 0.0000 Pu
0.1925 0.1811 0.7500 Pd
0.7959 0.1841 0.0730 Pd
0.2959 0.3159 0.0730 Pd
0.7041 0.6841 0.9270 Pd
0.8075 0.8189 0.2500 Pd
0.7041 0.6841 0.5730 Pd
0.3075 0.6811 0.2500 Pd
0.6925 0.3189 0.7500 Pd
0.2959 0.3159 0.4270 Pd
0.7959 0.1841 0.4270 Pd
0.2041 0.8159 0.9270 Pd
0.2041 0.8159 0.5730 Pd
0.4027 0.5181 0.7500 Th
0.0973 0.0181 0.2500 Th
0.9027 0.9819 0.7500 Th
0.5973 0.4819 0.2500 Th
```

Calculated values
calculated volume	22.55	A^3/atom
symmetry	No. 62
spin magnetization	5.682	μB/f.u.
formation energy from the elements	-0.576	eV/atom

=====

Computed, not measured: a relaxed PuThZnPd crystal at the PBE level of DFT.

Cell and atoms, written as POSCAR:
```
PuThZnPd
1.0
-4.7079 1.9502 0.0790
-3.3886 -1.3772 -3.5489
-3.9591 -2.9494 1.2654
Zn Pu Th Pd
1 1 1 1
direct
0.5000 0.5000 0.5000 Zn
0.2500 0.2500 0.2500 Pu
0.7500 0.7500 0.7500 Th
0.0000 0.0000 0.0000 Pd
```

Calculated values
calculated volume	23.40	A^3/atom
symmetry	No. 216
spin magnetization	5.915	μB/f.u.
formation energy from the elements	-0.272	eV/atom

=====

Computed, not measured: a relaxed Pu2TiPd crystal at the PBE level of DFT.

Cell and atoms, written as POSCAR:
```
Pu2TiPd
1.0
5.2454 0.0000 0.0000
0.0000 3.5893 0.0000
0.0000 0.0000 3.5893
Pu Pd Ti
2 1 1
direct
0.0000 0.0000 0.5000 Pu
0.0000 0.5000 0.0000 Pu
0.5000 0.0000 0.0000 Pd
0.5000 0.5000 0.5000 Ti
```

Calculated values
calculated volume	16.89	A^3/atom
symmetry	No. 123
spin magnetization	0.586	μB/f.u.
formation energy from the elements	0.226	eV/atom

=====

> Which formula does entry 4 have?

Pu2TiPd

=====

> Which value of formation energy from the elements does entry 3 give?

-0.272 eV/atom

=====

> Number 1 is which compound?

PuThPd

=====

Repeat the third record exactly.
Computed, not measured: a relaxed PuThZnPd crystal at the PBE level of DFT.

Cell and atoms, written as POSCAR:
```
PuThZnPd
1.0
-4.7079 1.9502 0.0790
-3.3886 -1.3772 -3.5489
-3.9591 -2.9494 1.2654
Zn Pu Th Pd
1 1 1 1
direct
0.5000 0.5000 0.5000 Zn
0.2500 0.2500 0.2500 Pu
0.7500 0.7500 0.7500 Th
0.0000 0.0000 0.0000 Pd
```

Calculated values
calculated volume	23.40	A^3/atom
symmetry	No. 216
spin magnetization	5.915	μB/f.u.
formation energy from the elements	-0.272	eV/atom